[1]
# SrZnSb3, relaxed, DFT PBE
# - Density: 3.90 g cm⁻³
# - V: 44.10 Å³/atom
# - Relative energy among the computed polymorphs: 4.58 eV/f.u.
# - Energy relative to the elements, uncorrected: 851 meV/atom
data_SrZnSb3
_cell_length_a 6.0414
_cell_length_b 6.0414
_cell_length_c 6.0414
_cell_angle_alpha 90.00
_cell_angle_beta 90.00
_cell_angle_gamma 90.00
_space_group_name_H-M_alt 'P 1'
_space_group_IT_number 1
loop_
_space_group_symop_operation_xyz
'x,y,z'
loop_
_atom_site_label
_atom_site_fract_x
_atom_site_fract_y
_atom_site_fract_z
Sb1 0.0000 0.5000 0.0000
Sb2 0.5000 0.0000 0.0000
Sb3 0.0000 0.0000 0.5000
Zn1 0.5000 0.5000 0.5000
Sr1 0.0000 0.0000 0.0000



[2]
# Li3RuSe, relaxed, DFT PBE
# - Density: 3.17 g cm⁻³
# - V: 21.02 Å³/atom
# - Relative energy among the computed polymorphs: 0.00 eV/f.u.
# - Energy relative to the elements, uncorrected: 267 meV/atom
data_Li3RuSe
_cell_length_a 4.7192
_cell_length_b 4.7192
_cell_length_c 4.7192
_cell_angle_alpha 90.00
_cell_angle_beta 90.00
_cell_angle_gamma 90.00
_space_group_name_H-M_alt 'P 1'
_space_group_IT_number 1
loop_
_space_group_symop_operation_xyz
'x,y,z'
loop_
_atom_site_label
_atom_site_fract_x
_atom_site_fract_y
_atom_site_fract_z
Se1 0.0000 0.0000 0.0000
Li1 0.5000 0.0000 0.0000
Li2 0.0000 0.0000 0.5000
Li3 0.0000 0.5000 0.0000
Ru1 0.5000 0.5000 0.5000



[3]
# Ac3TeSe2, relaxed, DFT PBE
# - Density: 7.62 g cm⁻³
# - V: 35.11 Å³/atom
# - Relative energy among the computed polymorphs: 0.17 eV/f.u.
# - Energy relative to the elements, uncorrected: -1483 meV/atom
data_Ac3TeSe2
_cell_length_a 4.7500
_cell_length_b 7.9347
_cell_length_c 11.7169
_cell_angle_alpha 90.00
_cell_angle_beta 90.00
_cell_angle_gamma 107.42
_space_group_name_H-M_alt 'P 1'
_space_group_IT_number 1
loop_
_space_group_symop_operation_xyz
'x,y,z'
loop_
_atom_site_label
_atom_site_fract_x
_atom_site_fract_y
_atom_site_fract_z
Te1 0.7601 0.5202 0.7500
Te2 0.2399 0.4798 0.2500
Ac1 0.0997 0.1993 0.7500
Ac2 0.6425 0.2849 0.0526
Ac3 0.9003 0.8007 0.2500
Ac4 0.3575 0.7151 0.5526
Ac5 0.3575 0.7151 0.9474
Ac6 0.6425 0.2849 0.4474
Se1 0.5171 0.0343 0.2500
Se2 0.0000 0.0000 0.5000
Se3 0.4829 0.9657 0.7500
Se4 0.0000 0.0000 0.0000



[4]
# BaLaP2, relaxed, DFT PBE
# - Density: 5.59 g cm⁻³
# - V: 25.10 Å³/atom
# - Relative energy among the computed polymorphs: 3.75 eV/f.u.
# - ΔH_f (0 K): -15.0 kJ per mole of atoms
data_BaLaP2
_cell_length_a 5.2171
_cell_length_b 5.2171
_cell_length_c 5.2171
_cell_angle_alpha 60.00
_cell_angle_beta 60.00
_cell_angle_gamma 60.00
_space_group_name_H-M_alt 'P 1'
_space_group_IT_number 1
loop_
_space_group_symop_operation_xyz
'x,y,z'
loop_
_atom_site_label
_atom_site_fract_x
_atom_site_fract_y
_atom_site_fract_z
P1 0.0000 0.0000 0.0000
P2 0.2500 0.2500 0.2500
Ba1 0.5000 0.5000 0.5000
La1 0.7500 0.7500 0.7500



[5]
# SrIn, relaxed, DFT PBE
# - Density: 4.57 g cm⁻³
# - V: 36.75 Å³/atom
# - ΔH_f (0 K): -7.0 kJ per mole of atoms
data_SrIn
_cell_length_a 6.0170
_cell_length_b 6.0170
_cell_length_c 9.3766
_cell_angle_alpha 90.00
_cell_angle_beta 90.00
_cell_angle_gamma 120.00
_space_group_name_H-M_alt 'P 1'
_space_group_IT_number 1
loop_
_space_group_symop_operation_xyz
'x,y,z'
loop_
_atom_site_label
_atom_site_fract_x
_atom_site_fract_y
_atom_site_fract_z
Sr1 0.0000 0.0000 0.7500
Sr2 0.6667 0.3333 0.2500
Sr3 0.3333 0.6667 0.7500
Sr4 0.0000 0.0000 0.2500
In1 0.6667 0.3333 0.9047
In2 0.3333 0.6667 0.4047
In3 0.3333 0.6667 0.0953
In4 0.6667 0.3333 0.5953



[6]
# CrSnSe2, relaxed, DFT PBE
# - Density: 6.09 g cm⁻³
# - V: 22.42 Å³/atom
# - Energy relative to the elements, uncorrected: -346 meV/atom
data_CrSnSe2
_cell_length_a 3.6622
_cell_length_b 3.6622
_cell_length_c 8.0044
_cell_angle_alpha 76.78
_cell_angle_beta 76.78
_cell_angle_gamma 60.00
_space_group_name_H-M_alt 'P 1'
_space_group_IT_number 1
loop_
_space_group_symop_operation_xyz
'x,y,z'
loop_
_atom_site_label
_atom_site_fract_x
_atom_site_fract_y
_atom_site_fract_z
Se1 0.0605 0.0605 0.8185
Se2 0.2722 0.2722 0.1834
Sn1 0.5012 0.5012 0.4965
Cr1 0.6661 0.6661 0.0016



[7]
# NaSrTa2O7, relaxed, DFT PBE
# - Density: 5.79 g cm⁻³
# - V: 15.25 Å³/atom
# - Energy relative to the elements, uncorrected: -2623 meV/atom
data_NaSrTa2O7
_cell_length_a 3.9527
_cell_length_b 3.9527
_cell_length_c 11.0927
_cell_angle_alpha 100.26
_cell_angle_beta 100.26
_cell_angle_gamma 90.00
_space_group_name_H-M_alt 'P 1'
_space_group_IT_number 1
loop_
_space_group_symop_operation_xyz
'x,y,z'
loop_
_atom_site_label
_atom_site_fract_x
_atom_site_fract_y
_atom_site_fract_z
O1 0.0000 0.0000 0.0000
O2 0.1897 0.1897 0.3795
O3 0.9121 0.4121 0.8242
O4 0.8103 0.8103 0.6205
O5 0.0888 0.5888 0.1776
O6 0.4112 0.9112 0.8224
O7 0.5879 0.0879 0.1758
Ta1 0.8946 0.8946 0.7892
Ta2 0.1054 0.1054 0.2108
Sr1 0.5000 0.5000 0.0000
Na1 0.2500 0.7500 0.5000



[8]
# AlTcTe2, relaxed, DFT PBE
# - Density: 7.85 g cm⁻³
# - V: 20.11 Å³/atom
# - Energy relative to the elements, uncorrected: 463 meV/atom
data_AlTcTe2
_cell_length_a 4.8911
_cell_length_b 4.8911
_cell_length_c 3.4103
_cell_angle_alpha 90.00
_cell_angle_beta 90.00
_cell_angle_gamma 99.67
_space_group_name_H-M_alt 'P 1'
_space_group_IT_number 1
loop_
_space_group_symop_operation_xyz
'x,y,z'
loop_
_atom_site_label
_atom_site_fract_x
_atom_site_fract_y
_atom_site_fract_z
Al1 0.5000 0.0000 0.5000
Te1 0.0000 0.0000 0.0000
Te2 0.5000 0.5000 0.0000
Tc1 0.0000 0.5000 0.5000



[9]
# SrTiBeNi2, relaxed, DFT PBE
# - Density: 4.40 g cm⁻³
# - V: 19.78 Å³/atom
# - ΔH_f (0 K): 51.7 kJ per mole of atoms
data_SrTiBeNi2
_cell_length_a 4.5562
_cell_length_b 4.7646
_cell_length_c 4.5562
_cell_angle_alpha 90.00
_cell_angle_beta 90.00
_cell_angle_gamma 90.00
_space_group_name_H-M_alt 'P 1'
_space_group_IT_number 1
loop_
_space_group_symop_operation_xyz
'x,y,z'
loop_
_atom_site_label
_atom_site_fract_x
_atom_site_fract_y
_atom_site_fract_z
Ni1 0.5000 0.0000 0.0000
Ni2 0.0000 0.0000 0.5000
Sr1 0.5000 0.5000 0.5000
Be1 0.0000 0.5000 0.0000
Ti1 0.0000 0.0000 0.0000



[10]
# Ba2LiTcF, relaxed, DFT PBE
# - Density: 4.76 g cm⁻³
# - V: 27.81 Å³/atom
# - Relative energy among the computed polymorphs: 0.00 eV/f.u.
# - Energy relative to the elements, uncorrected: -288 meV/atom
data_Ba2LiTcF
_cell_length_a 5.7229
_cell_length_b 4.2456
_cell_length_c 5.7229
_cell_angle_alpha 90.00
_cell_angle_beta 90.00
_cell_angle_gamma 90.00
_space_group_name_H-M_alt 'P 1'
_space_group_IT_number 1
loop_
_space_group_symop_operation_xyz
'x,y,z'
loop_
_atom_site_label
_atom_site_fract_x
_atom_site_fract_y
_atom_site_fract_z
F1 0.0000 0.0000 0.0000
Li1 0.5000 0.5000 0.5000
Ba1 0.5000 0.0000 0.0000
Ba2 0.0000 0.0000 0.5000
Tc1 0.0000 0.5000 0.0000



[11]
# Cd2CoHg, relaxed, DFT PBE
# - Density: 10.45 g cm⁻³
# - V: 19.25 Å³/atom
# - ΔH_f (0 K): 22.0 kJ per mole of atoms
data_Cd2CoHg
_cell_length_a 3.0257
_cell_length_b 3.0261
_cell_length_c 8.4090
_cell_angle_alpha 90.00
_cell_angle_beta 90.00
_cell_angle_gamma 90.00
_space_group_name_H-M_alt 'P 1'
_space_group_IT_number 1
loop_
_space_group_symop_operation_xyz
'x,y,z'
loop_
_atom_site_label
_atom_site_fract_x
_atom_site_fract_y
_atom_site_fract_z
Hg1 0.5000 0.5000 0.7500
Cd1 0.0000 0.0000 0.4531
Cd2 0.0000 0.0000 0.0469
Co1 0.5000 0.5000 0.2500



[12]
# Y2CoSe, relaxed, DFT PBE
# - Density: 6.23 g cm⁻³
# - V: 21.02 Å³/atom
# - Energy relative to the elements, uncorrected: -651 meV/atom
data_Y2CoSe
_cell_length_a 4.9509
_cell_length_b 4.9509
_cell_length_c 3.4306
_cell_angle_alpha 89.91
_cell_angle_beta 89.91
_cell_angle_gamma 89.99
_space_group_name_H-M_alt 'P 1'
_space_group_IT_number 1
loop_
_space_group_symop_operation_xyz
'x,y,z'
loop_
_atom_site_label
_atom_site_fract_x
_atom_site_fract_y
_atom_site_fract_z
Se1 0.0000 0.5000 0.5000
Y1 0.5000 0.5000 0.0000
Y2 0.0000 0.0000 0.0000
Co1 0.5000 0.0000 0.5000



[13]
# LiCr2Ru, relaxed, DFT PBE
# - Density: 7.11 g cm⁻³
# - V: 12.37 Å³/atom
# - ΔH_f (0 K): 24.9 kJ per mole of atoms
data_LiCr2Ru
_cell_length_a 4.8041
_cell_length_b 4.8041
_cell_length_c 4.8041
_cell_angle_alpha 145.39
_cell_angle_beta 127.29
_cell_angle_gamma 64.60
_space_group_name_H-M_alt 'P 1'
_space_group_IT_number 1
loop_
_space_group_symop_operation_xyz
'x,y,z'
loop_
_atom_site_label
_atom_site_fract_x
_atom_site_fract_y
_atom_site_fract_z
Ru1 0.2383 0.7383 0.5000
Cr1 0.7706 0.2706 0.5000
Cr2 0.9873 0.9873 0.0000
Li1 0.5039 0.5039 0.0000



[14]
# HoAlNi, relaxed, DFT PBE
# - Density: 7.70 g cm⁻³
# - V: 18.01 Å³/atom
# - ΔH_f (0 K): -59.3 kJ per mole of atoms
data_HoAlNi
_cell_length_a 6.9471
_cell_length_b 6.9471
_cell_length_c 3.8778
_cell_angle_alpha 90.00
_cell_angle_beta 90.00
_cell_angle_gamma 120.00
_space_group_name_H-M_alt 'P 1'
_space_group_IT_number 1
loop_
_space_group_symop_operation_xyz
'x,y,z'
loop_
_atom_site_label
_atom_site_fract_x
_atom_site_fract_y
_atom_site_fract_z
Al1 0.0000 0.2359 0.0000
Al2 0.7641 0.7641 0.0000
Al3 0.2359 0.0000 0.0000
Ho1 0.5834 0.0000 0.5000
Ho2 0.4166 0.4166 0.5000
Ho3 0.0000 0.5834 0.5000
Ni1 0.6667 0.3333 0.0000
Ni2 0.3333 0.6667 0.0000
Ni3 0.0000 0.0000 0.5000



[15]
# TbSc2Hg, relaxed, DFT PBE
# - Density: 7.67 g cm⁻³
# - V: 24.33 Å³/atom
# - Relative energy among the computed polymorphs: 0.05 eV/f.u.
# - ΔH_f (0 K): -17.0 kJ per mole of atoms
data_TbSc2Hg
_cell_length_a 4.6083
_cell_length_b 4.5952
_cell_length_c 4.5952
_cell_angle_alpha 90.00
_cell_angle_beta 90.00
_cell_angle_gamma 90.00
_space_group_name_H-M_alt 'P 1'
_space_group_IT_number 1
loop_
_space_group_symop_operation_xyz
'x,y,z'
loop_
_atom_site_label
_atom_site_fract_x
_atom_site_fract_y
_atom_site_fract_z
Sc1 0.0000 0.0000 0.5000
Sc2 0.0000 0.5000 0.0000
Hg1 0.5000 0.0000 0.0000
Tb1 0.5000 0.5000 0.5000



[16]
# TaCrAu2, relaxed, DFT PBE
# - Density: 15.22 g cm⁻³
# - V: 17.10 Å³/atom
# - Relative energy among the computed polymorphs: 0.33 eV/f.u.
# - ΔH_f (0 K): 16.1 kJ per mole of atoms
data_TaCrAu2
_cell_length_a 6.3938
_cell_length_b 4.9602
_cell_length_c 2.9642
_cell_angle_alpha 89.96
_cell_angle_beta 62.45
_cell_angle_gamma 120.42
_space_group_name_H-M_alt 'P 1'
_space_group_IT_number 1
loop_
_space_group_symop_operation_xyz
'x,y,z'
loop_
_atom_site_label
_atom_site_fract_x
_atom_site_fract_y
_atom_site_fract_z
Ta1 0.5000 0.5000 0.0000
Au1 0.0000 0.0000 0.0000
Au2 0.5000 0.0000 0.5000
Cr1 0.0000 0.5000 0.5000



[17]
# Pr2Sm3Ho6Pu, relaxed, DFT PBE
# - Density: 8.48 g cm⁻³
# - V: 32.08 Å³/atom
# - ΔH_f (0 K): 4.4 kJ per mole of atoms
data_Pr2Sm3Ho6Pu
_cell_length_a 6.2019
_cell_length_b 6.2019
_cell_length_c 11.7445
_cell_angle_alpha 95.06
_cell_angle_beta 95.06
_cell_angle_gamma 120.03
_space_group_name_H-M_alt 'P 1'
_space_group_IT_number 1
loop_
_space_group_symop_operation_xyz
'x,y,z'
loop_
_atom_site_label
_atom_site_fract_x
_atom_site_fract_y
_atom_site_fract_z
Pu1 0.0000 0.0000 0.0000
Sm1 0.8330 0.1670 0.5000
Sm2 0.5000 0.5000 0.5000
Sm3 0.1670 0.8330 0.5000
Ho1 0.9171 0.5885 0.7510
Ho2 0.0829 0.4115 0.2490
Ho3 0.4115 0.0829 0.2490
Ho4 0.7542 0.7542 0.2491
Ho5 0.2458 0.2458 0.7509
Ho6 0.5885 0.9171 0.7510
Pr1 0.6666 0.3334 0.0000
Pr2 0.3334 0.6666 0.0000



[18]
# Sr2PdSe, relaxed, DFT PBE
# - Density: 5.52 g cm⁻³
# - V: 27.11 Å³/atom
# - Energy relative to the elements, uncorrected: -1147 meV/atom
data_Sr2PdSe
_cell_length_a 3.7859
_cell_length_b 3.7859
_cell_length_c 7.5658
_cell_angle_alpha 90.00
_cell_angle_beta 90.00
_cell_angle_gamma 90.00
_space_group_name_H-M_alt 'P 1'
_space_group_IT_number 1
loop_
_space_group_symop_operation_xyz
'x,y,z'
loop_
_atom_site_label
_atom_site_fract_x
_atom_site_fract_y
_atom_site_fract_z
Se1 0.5000 0.5000 0.0000
Pd1 0.5000 0.5000 0.5000
Sr1 0.0000 0.0000 0.2461
Sr2 0.0000 0.0000 0.7539



[19]
# SrLa2Cd, relaxed, DFT PBE
# - Density: 5.19 g cm⁻³
# - V: 38.21 Å³/atom
# - ΔH_f (0 K): 9.8 kJ per mole of atoms
data_SrLa2Cd
_cell_length_a 9.4596
_cell_length_b 9.4596
_cell_length_c 7.5108
_cell_angle_alpha 50.97
_cell_angle_beta 50.97
_cell_angle_gamma 90.00
_space_group_name_H-M_alt 'P 1'
_space_group_IT_number 1
loop_
_space_group_symop_operation_xyz
'x,y,z'
loop_
_atom_site_label
_atom_site_fract_x
_atom_site_fract_y
_atom_site_fract_z
La1 0.0798 0.6250 0.2500
La2 0.8750 0.9202 0.7500
La3 0.6702 0.1250 0.2500
La4 0.3750 0.3298 0.7500
Cd1 0.0000 0.0000 0.0000
Cd2 0.7500 0.2500 0.5000
Sr1 0.5000 0.5000 0.0000
Sr2 0.2500 0.7500 0.5000



[20]
# K2Pm2TiO6, relaxed, DFT PBE
# - Density: 4.43 g cm⁻³
# - V: 17.44 Å³/atom
# - Energy relative to the elements, uncorrected: -2738 meV/atom
data_K2Pm2TiO6
_cell_length_a 5.8783
_cell_length_b 5.8783
_cell_length_c 6.5948
_cell_angle_alpha 97.51
_cell_angle_beta 97.51
_cell_angle_gamma 119.33
_space_group_name_H-M_alt 'P 1'
_space_group_IT_number 1
loop_
_space_group_symop_operation_xyz
'x,y,z'
loop_
_atom_site_label
_atom_site_fract_x
_atom_site_fract_y
_atom_site_fract_z
O1 0.6561 0.9550 0.3298
O2 0.9550 0.6561 0.3298
O3 0.2334 0.2334 0.3277
O4 0.7666 0.7666 0.6723
O5 0.3439 0.0450 0.6702
O6 0.0450 0.3439 0.6702
Pm1 0.3351 0.6649 0.5000
Pm2 0.6649 0.3351 0.5000
Ti1 0.0000 0.0000 0.5000
K1 0.8421 0.1579 0.0000
K2 0.1579 0.8421 0.0000



N(E_F)
In order: 0.65 1.03 0.75 0.82 0.83 0.40 0.50 0.73 1.09 0.91 1.30 0.63 0.88 0.81 1.23 0.86 1.93 0.21 1.11 0.00
Unit: states/eV per atom